1.
# PBEsol Mg2ZnSe, optimized geometry
# Offset from the most stable computed form   0.000 eV per atom
# DFT total energy   -0.1866 Ry/atom
data_Mg2ZnSe
_space_group_name_H-M_alt 'P 4 m m'
_space_group_IT_number 99
_cell_length_a 3.776
_cell_length_b 3.776
_cell_length_c 5.787
_cell_angle_alpha 90.00
_cell_angle_beta 90.00
_cell_angle_gamma 90.00
loop_
_space_group_symop_operation_xyz
'x,y,z'
'-y,x,z'
'-x,-y,z'
'y,-x,z'
'-x,y,z'
'y,x,z'
'x,-y,z'
'-y,-x,z'
loop_
_atom_site_label
_atom_site_type_symbol
_atom_site_fract_x
_atom_site_fract_y
_atom_site_fract_z
Mg1 Mg 0.000 0.000 0.000
Mg2 Mg 0.500 0.500 0.398
Zn1 Zn 0.500 0.500 0.910
Se1 Se 0.000 0.000 0.482


2.
# PBEsol MgZn2Se3, optimized geometry
# DFT total energy   -0.2115 Ry/atom
data_MgZn2Se3
_space_group_name_H-M_alt 'R -3 m'
_space_group_IT_number 166
_space_group_name_Hall '-R 3 2"'
_cell_length_a 7.4997
_cell_length_b 7.4997
_cell_length_c 8.3024
_cell_angle_alpha 90.00
_cell_angle_beta 90.00
_cell_angle_gamma 120.00
loop_
_atom_site_label
_atom_site_type_symbol
_atom_site_fract_x
_atom_site_fract_y
_atom_site_fract_z
Mg1 Mg 0.0000 0.0000 0.0000
Zn1 Zn 0.0000 0.0000 0.3544
Se1 Se 0.0000 0.5000 0.5000


3.
# PBEsol MgZnSe, optimized geometry
# Offset from the most stable computed form   0.134 eV per atom
# DFT total energy   -0.2082 Ry/atom
data_MgZnSe
_space_group_name_H-M_alt 'P 63 m c'
_space_group_IT_number 186
_space_group_name_Hall 'P 6c -2c'
_cell_length_a 3.7220
_cell_length_b 3.7220
_cell_length_c 10.1691
_cell_angle_alpha 90.00
_cell_angle_beta 90.00
_cell_angle_gamma 120.00
loop_
_atom_site_label
_atom_site_type_symbol
_atom_site_fract_x
_atom_site_fract_y
_atom_site_fract_z
Mg1 Mg 0.3333 0.6667 0.0000
Zn1 Zn 0.0000 0.0000 0.3084
Se1 Se 0.3333 0.6667 0.6643


Short version: N(E_F) = 1.91, 5.69, 0.23 states/eV/f.u., in the order given.
Short version: formation energy from raw total energies = -322, -139, -449 meV/atom, in the order given.